Compound: Tb3CuNi8
Source: Alexandria via LeMat-Bulk
Functional: PBE
Structure: relaxed

a = 8.646 Å, b = 8.646 Å, c = 8.646 Å
α = 33.44°, β = 33.44°, γ = 33.44°
Sites, in units of the cell vectors:
1 Tb 0.000 0.000 0.000
2 Tb 0.130 0.130 0.130
3 Tb 0.611 0.611 0.611
4 Cu 0.491 0.491 0.491
5 Ni 0.058 0.058 0.563
6 Ni 0.058 0.563 0.058
7 Ni 0.065 0.560 0.560
8 Ni 0.310 0.310 0.310
9 Ni 0.560 0.065 0.560
10 Ni 0.560 0.560 0.065
11 Ni 0.563 0.058 0.058
12 Ni 0.811 0.811 0.811

Output
ρ: 9.593 g/cm3
crystal system: trigonal
total moment: 0.0 μB/f.u.
Fermi-level density of states: 11.95 states/eV/cell
final energy: -68.69 eV/cell
SG: R3m, No. 160
relative energy among the computed polymorphs: 0 meV/atom
E_form: -35.8 kJ/mol of atoms

---

Compound: GeBiN2F
Source: Alexandria via LeMat-Bulk
Functional: PBE
Structure: relaxed

a = 3.979 Å, b = 3.979 Å, c = 3.892 Å
α = 90.00°, β = 90.00°, γ = 90.00°
Sites, in units of the cell vectors:
1 Ge 0.000 0.000 0.000
2 Bi 0.500 0.500 0.500
3 N 0.000 0.500 0.000
4 N 0.500 0.000 0.000
5 F 0.000 0.000 0.500

Output
ρ: 8.855 g/cm3
crystal system: tetragonal
formation energy without anion corrections: 0.07 eV per atom
total moment: 0.0 μB/f.u.
Fermi-level density of states: 1.19 states/eV/cell
final energy: -26.65 eV/cell
SG: P4/mmm, No. 123
relative energy among the computed polymorphs: 0 meV/atom

---

Compound: SrTe2IO
Source: Alexandria via LeMat-Bulk
Functional: PBE
Structure: relaxed

a = 4.627 Å, b = 4.627 Å, c = 6.645 Å
α = 90.00°, β = 90.00°, γ = 90.00°
Sites, in units of the cell vectors:
1 Sr 0.000 0.000 0.000
2 Te 0.000 0.500 0.500
3 Te 0.500 0.000 0.500
4 I 0.500 0.500 0.000
5 O 0.500 0.500 0.500

Output
ρ: 5.670 g/cm3
crystal system: tetragonal
formation energy without anion corrections: -0.74 eV per atom
total moment: 0.0 μB/f.u.
Fermi-level density of states: 2.86 states/eV/cell
final energy: -18.19 eV/cell
SG: P4/mmm, No. 123
relative energy among the computed polymorphs: 0 meV/atom

---

Compound: MoSe2
Source: Alexandria via LeMat-Bulk
Functional: PBE
Structure: relaxed

a = 7.401 Å, b = 7.401 Å, c = 3.389 Å
α = 90.00°, β = 90.00°, γ = 120.00°
Sites, in units of the cell vectors:
1 Mo 0.000 0.000 0.000
2 Mo 0.333 0.667 0.500
3 Mo 0.667 0.333 0.500
4 Se 0.000 0.275 0.500
5 Se 0.000 0.610 0.000
6 Se 0.275 0.000 0.500
7 Se 0.390 0.390 0.000
8 Se 0.610 0.000 0.000
9 Se 0.725 0.725 0.500

Output
ρ: 7.868 g/cm3
crystal system: hexagonal
formation energy without anion corrections: 0.02 eV per atom
total moment: 0.9 μB/f.u.
Fermi-level density of states: 8.42 states/eV/cell
final energy: -53.18 eV/cell
SG: P-62m, No. 189

---

Compound: Ba2MgNi3H12
Source: Alexandria via LeMat-Bulk
Functional: PBE
Structure: relaxed

a = 6.196 Å, b = 6.196 Å, c = 6.196 Å
α = 61.76°, β = 61.76°, γ = 61.76°
Sites, in units of the cell vectors:
1 Ba 0.117 0.117 0.117
2 Ba 0.883 0.883 0.883
3 Mg 0.500 0.500 0.500
4 Ni 0.000 0.500 0.500
5 Ni 0.500 0.000 0.500
6 Ni 0.500 0.500 0.000
7 H 0.126 0.596 0.596
8 H 0.200 0.200 0.579
9 H 0.200 0.579 0.200
10 H 0.404 0.404 0.874
11 H 0.404 0.874 0.404
12 H 0.421 0.800 0.800
13 H 0.579 0.200 0.200
14 H 0.596 0.126 0.596
15 H 0.596 0.596 0.126
16 H 0.800 0.421 0.800
17 H 0.800 0.800 0.421
18 H 0.874 0.404 0.404

Output
ρ: 4.627 g/cm3
crystal system: trigonal
total moment: 0.0 μB/f.u.
Fermi-level density of states: 3.73 states/eV/cell
final energy: -67.79 eV/cell
SG: R-3m, No. 166

---

Compound: AcB2N2
Source: Alexandria via LeMat-Bulk
Functional: PBE
Structure: relaxed

a = 6.303 Å, b = 6.303 Å, c = 4.247 Å
α = 100.06°, β = 100.06°, γ = 124.93°
Sites, in units of the cell vectors:
1 Ac 0.143 0.857 0.750
2 Ac 0.857 0.143 0.250
3 B 0.310 0.470 0.004
4 B 0.470 0.310 0.504
5 B 0.530 0.690 0.496
6 B 0.690 0.530 0.996
7 N 0.319 0.681 0.250
8 N 0.461 0.539 0.750
9 N 0.539 0.461 0.250
10 N 0.681 0.319 0.750

Output
ρ: 7.173 g/cm3
crystal system: monoclinic
formation energy without anion corrections: -0.45 eV per atom
total moment: 0.0 μB/f.u.
Fermi-level density of states: 3.66 states/eV/cell
final energy: -72.73 eV/cell
SG: C2/c, No. 15
relative energy among the computed polymorphs: 0 meV/atom